# 1
Entry from Alexandria: a relaxed LaYSc2Ru crystal (PBE-GGA).

Cell lengths 5.125, 5.125, 5.383 Å; angles 90.00, 90.00, 90.00 degrees
Sites, in units of the cell vectors:
Y (0.000, 0.000, 0.500)
Ru (0.000, 0.000, 0.000)
Sc (0.000, 0.500, 0.000)
Sc (0.500, 0.000, 0.000)
La (0.500, 0.500, 0.500)

Properties
energy relative to the lowest polymorph listed for this composition = 0.0 meV per atom
calculated total energy = -6.81 eV/atom
energy of formation = -0.71 eV per formula unit
SG = No. 123

***

# 2
Entry from Alexandria: a relaxed La2YScRu crystal (PBE-GGA).

Cell lengths 5.505, 5.505, 5.215 Å; angles 90.00, 90.00, 90.00 degrees
Sites, in units of the cell vectors:
Y (0.500, 0.500, 0.500)
Ru (0.000, 0.000, 0.000)
Sc (0.000, 0.000, 0.500)
La (0.000, 0.500, 0.000)
La (0.500, 0.000, 0.000)

Properties
calculated total energy = -6.42 eV/atom
energy of formation = -0.19 eV per formula unit
SG = No. 123

***

# 3
Entry from Alexandria: a relaxed LaYSc2Ru crystal (PBE-GGA).

Cell lengths 5.220, 4.807, 5.220 Å; angles 90.00, 90.00, 90.00 degrees
Sites, in units of the cell vectors:
Y (0.500, 0.500, 0.500)
Ru (0.000, 0.500, 0.000)
Sc (0.000, 0.000, 0.500)
Sc (0.500, 0.000, 0.000)
La (0.000, 0.000, 0.000)

Properties
energy relative to the lowest polymorph listed for this composition = 821.8 meV per atom
calculated total energy = -5.99 eV/atom
energy of formation = 3.40 eV per formula unit
SG = No. 123

***

# 4
Entry from Alexandria: a relaxed LaScZnRu crystal (PBE-GGA).

Cell lengths 4.917, 4.917, 4.917 Å; angles 60.00, 60.00, 60.00 degrees
Sites, in units of the cell vectors:
Sc (0.500, 0.500, 0.500)
Ru (0.750, 0.750, 0.750)
Zn (0.250, 0.250, 0.250)
La (0.000, 0.000, 0.000)

Properties
calculated total energy = -5.71 eV/atom
energy of formation = -1.02 eV per formula unit
SG = No. 216